Entry 1:
The following is a PBE-GGA calculation of a relaxed structure of DySnCl, from Alexandria.

a b c (Å): 15.990 3.762 5.297
angles (deg): 90.00 96.99 90.00
Atoms (fractional coordinates):
Dy: 0.123 0.000 0.388
Dy: 0.377 0.500 0.612
Dy: 0.623 0.500 0.388
Dy: 0.877 0.000 0.612
Sn: 0.047 0.500 0.781
Sn: 0.453 0.000 0.219
Sn: 0.547 0.000 0.781
Sn: 0.953 0.500 0.219
Cl: 0.232 0.500 0.247
Cl: 0.268 0.000 0.753
Cl: 0.732 0.000 0.247
Cl: 0.768 0.500 0.753

Computed properties:
VASP energy = -13.98 eV/f.u.
Total moment = 0.0000 μB/atom
Crystal system = monoclinic

=====

Entry 2:
The following is a PBE-GGA calculation of a relaxed structure of La2CePt9, from Alexandria.

a b c (Å): 9.575 9.575 9.575
angles (deg): 33.19 33.19 33.19
Atoms (fractional coordinates):
La: 0.139 0.139 0.139
La: 0.861 0.861 0.861
Ce: 0.000 0.000 0.000
Pt: 0.081 0.585 0.585
Pt: 0.333 0.333 0.333
Pt: 0.415 0.415 0.919
Pt: 0.415 0.919 0.415
Pt: 0.500 0.500 0.500
Pt: 0.585 0.081 0.585
Pt: 0.585 0.585 0.081
Pt: 0.667 0.667 0.667
Pt: 0.919 0.415 0.415

Computed properties:
Total moment = 0.0484 μB/atom
Crystal system = trigonal
Energy of formation = -11.19 eV/f.u.